(1)
## Bi2I2Br (GGA-PBE)

Data for a relaxed structure of Bi2I2Br.

Unit cell a=8.1604 b=8.1604 c=5.1173 alpha=90.00 beta=90.00 gamma=90.00
Space group P4/mbm (No. 127)
Asymmetric unit:
Bi  0.1354  0.3646  0.0000 [4 per cell]
I  0.1719  0.6719  0.5000 [4 per cell]
Br  0.0000  0.0000  0.0000 [2 per cell]

Output
Volume in Å³/atom: 34.08
Total magnetization in μB/cell: 0.00
Raw formation energy in eV per atom: -0.1293

(2)
## Sr2TlSb3Pt4 (GGA-PBE)

Data for a relaxed structure of Sr2TlSb3Pt4.

Unit cell a=4.7169 b=4.7169 c=10.8130 alpha=90.00 beta=90.00 gamma=90.00
Space group P-4m2 (No. 115)
Asymmetric unit:
Sr  0.0000  0.5000  0.2405 [2 per cell]
Tl  0.0000  0.0000  0.5000 [1 per cell]
Sb  0.0000  0.5000  0.8769 [2 per cell]
Sb  0.5000  0.5000  0.5000 [1 per cell]
Pt  0.0000  0.0000  0.0000 [1 per cell]
Pt  0.0000  0.5000  0.6355 [2 per cell]
Pt  0.5000  0.5000  0.0000 [1 per cell]

Output
Volume in Å³/atom: 24.06
Total magnetization in μB/cell: 0.00
Raw formation energy in eV per atom: -0.7042

(3)
## AlGaHg (GGA-PBE)

Data for a relaxed structure of AlGaHg.

Unit cell a=3.1703 b=5.9226 c=6.6536 alpha=89.25 beta=89.48 gamma=90.00
Space group P1 (No. 1)
Asymmetric unit:
Al  0.0000  0.0000  0.0000 [1 per cell]
Al  0.4971  0.2528  0.2659 [1 per cell]
Ga  0.4966  0.7707  0.2806 [1 per cell]
Ga  0.9957  0.4972  0.5297 [1 per cell]
Hg  0.5034  0.0183  0.6507 [1 per cell]
Hg  0.9787  0.5065  0.9418 [1 per cell]

Output
Volume in Å³/atom: 20.82
Total magnetization in μB/cell: 0.00
Uncorrected energy in eV per cell: -13.59

(4)
## Y4CoPb (GGA-PBE)

Data for a relaxed structure of Y4CoPb.

Unit cell a=8.8125 b=8.8125 c=8.8125 alpha=90.00 beta=90.00 gamma=90.00
Space group F-43m (No. 216)
Asymmetric unit:
Y  0.1247  0.1247  0.1247 [16 per cell]
Co  0.2500  0.2500  0.7500 [4 per cell]
Pb  0.0000  0.0000  0.5000 [4 per cell]

Output
Volume in Å³/atom: 28.52
Offset from the most stable computed form in meV per atom: 895.8
Total magnetization in μB/cell: 8.71

(5)
## HfScTlHg (GGA-PBE)

Data for a relaxed structure of HfScTlHg.

Unit cell a=7.0753 b=7.0753 c=7.0753 alpha=90.00 beta=90.00 gamma=90.00
Space group F-43m (No. 216)
Asymmetric unit:
Hf  0.0000  0.0000  0.0000 [4 per cell]
Sc  0.0000  0.0000  0.5000 [4 per cell]
Tl  0.2500  0.2500  0.7500 [4 per cell]
Hg  0.2500  0.2500  0.2500 [4 per cell]

Output
Volume in Å³/atom: 22.14
Total magnetization in μB/cell: 0.00
Uncorrected energy in eV per cell: -77.23

(6)
## Tl3HBr3 (GGA-PBE)

Data for a relaxed structure of Tl3HBr3.

Unit cell a=8.7285 b=13.4278 c=7.6038 alpha=90.00 beta=98.58 gamma=90.00
Space group C2/m (No. 12)
Asymmetric unit:
Tl  0.0854  0.0000  0.3174 [4 per cell]
Tl  0.1784  0.3441  0.2263 [8 per cell]
H  0.1341  0.0000  0.6013 [4 per cell]
Br  0.0000  0.1552  0.0000 [4 per cell]
Br  0.0000  0.2280  0.5000 [4 per cell]
Br  0.1198  0.5000  0.8121 [4 per cell]

Output
Volume in Å³/atom: 31.47
Total magnetization in μB/cell: 0.00
Uncorrected energy in eV per cell: -75.71

(7)
## LaCrBr2 (GGA-PBE)

Data for a relaxed structure of LaCrBr2.

Unit cell a=7.5972 b=7.5972 c=7.5972 alpha=90.00 beta=90.00 gamma=90.00
Space group F-43m (No. 216)
Asymmetric unit:
La  0.0000  0.0000  0.0000 [4 per cell]
Cr  0.2500  0.2500  0.2500 [4 per cell]
Br  0.0000  0.0000  0.5000 [4 per cell]
Br  0.2500  0.2500  0.7500 [4 per cell]

Output
Volume in Å³/atom: 27.41
Offset from the most stable computed form in meV per atom: 351.0
Total magnetization in μB/cell: 19.97
Raw formation energy in eV per atom: -0.2995

(8)
## La2CrAuN (GGA-PBE)

Data for a relaxed structure of La2CrAuN.

Unit cell a=5.3302 b=5.3302 c=3.8032 alpha=90.00 beta=90.00 gamma=90.00
Space group P4/mmm (No. 123)
Asymmetric unit:
La  0.0000  0.5000  0.0000 [2 per cell]
Cr  0.0000  0.0000  0.5000 [1 per cell]
Au  0.5000  0.5000  0.5000 [1 per cell]
N  0.0000  0.0000  0.0000 [1 per cell]

Output
Volume in Å³/atom: 21.61
Total magnetization in μB/cell: 2.34
Raw formation energy in eV per atom: -0.7390

(9)
## Pa5S5N (GGA-PBE)

Data for a relaxed structure of Pa5S5N.

Unit cell a=11.9924 b=5.3905 c=7.5940 alpha=90.00 beta=108.87 gamma=90.00
Space group C2/m (No. 12)
Asymmetric unit:
Pa  0.0000  0.0000  0.0000 [2 per cell]
Pa  0.1563  0.5000  0.3106 [4 per cell]
Pa  0.1576  0.5000  0.8453 [4 per cell]
S  0.0000  0.5000  0.5000 [2 per cell]
S  0.1559  0.0000  0.8121 [4 per cell]
S  0.1717  0.0000  0.3406 [4 per cell]
N  0.0000  0.5000  0.0000 [2 per cell]

Output
Volume in Å³/atom: 21.11
Total magnetization in μB/cell: 0.00
Raw formation energy in eV per atom: -1.5683

(10)
## DyMnFeP2 (GGA-PBE)

Data for a relaxed structure of DyMnFeP2.

Unit cell a=3.8683 b=3.8683 c=9.4247 alpha=90.00 beta=90.00 gamma=90.00
Space group I-4m2 (No. 119)
Asymmetric unit:
Dy  0.0000  0.0000  0.0000 [2 per cell]
Mn  0.0000  0.5000  0.7500 [2 per cell]
Fe  0.0000  0.5000  0.2500 [2 per cell]
P  0.0000  0.0000  0.3648 [4 per cell]

Output
Volume in Å³/atom: 14.10
Total magnetization in μB/cell: 0.00
Uncorrected energy in eV per cell: -75.84

(11)
## Zr2CrInC (GGA-PBE)

Data for a relaxed structure of Zr2CrInC.

Unit cell a=4.6619 b=4.6619 c=3.8734 alpha=90.00 beta=90.00 gamma=90.00
Space group P4/mmm (No. 123)
Asymmetric unit:
Zr  0.0000  0.5000  0.0000 [2 per cell]
Cr  0.0000  0.0000  0.5000 [1 per cell]
In  0.5000  0.5000  0.5000 [1 per cell]
C  0.0000  0.0000  0.0000 [1 per cell]

Output
Volume in Å³/atom: 16.84
Total magnetization in μB/cell: 0.00
Uncorrected energy in eV per cell: -40.33

(12)
## DyGeTe3 (GGA-PBE)

Data for a relaxed structure of DyGeTe3.

Unit cell a=8.5783 b=4.1021 c=8.7803 alpha=90.00 beta=93.86 gamma=90.00
Space group P2_1/m (No. 11)
Asymmetric unit:
Dy  0.1281  0.2500  0.2610 [2 per cell]
Ge  0.3512  0.7500  0.8397 [2 per cell]
Te  0.1171  0.2500  0.8932 [2 per cell]
Te  0.1675  0.7500  0.5301 [2 per cell]
Te  0.3907  0.7500  0.1713 [2 per cell]

Output
Volume in Å³/atom: 30.83
Total magnetization in μB/cell: 0.00
Raw formation energy in eV per atom: -0.6566